No. 1
Density functional theory data (PBE-GGA) for Pa4GeRuSe2 after structural relaxation.

DFT total energy in eV per atom: -8.169
Spin magnetization in μB/atom: 0.00
ρ in g cm⁻³: 10.8
Space-group type: P2/m, No. 10
Density of states at the Fermi level in states/eV/f.u.: 12.74
Calculated volume in Å³ per cell: 192.3
Energy relative to the elements, uncorrected in eV per formula unit: -6.507

The structure in extended XYZ format:
```
8
Lattice="3.976 0.000 0.000 0.000 7.105 -0.220 0.000 2.428 6.731" Properties=species:S:1:pos:R:3 pbc="T T T"
Pa 0.000 7.051 5.010
Pa 3.976 2.482 1.501
Pa 1.988 5.838 1.457
Pa 1.988 3.696 5.054
Ge 0.000 4.767 3.256
Ru 1.988 3.553 -0.110
Se 0.000 2.428 6.731
Se 1.988 1.214 3.365
```


No. 2
Density functional theory data (PBE-GGA) for Ba8Ge3Br4Cl after structural relaxation.

DFT total energy in eV per atom: -3.685
Spin magnetization in μB/atom: 0.04
ρ in g cm⁻³: 4.3
Space-group type: R-3m, No. 166
Density of states at the Fermi level in states/eV/f.u.: 9.10
Calculated volume in Å³ per cell: 645.8
Energy relative to the elements, uncorrected in eV per formula unit: -21.189

The structure in extended XYZ format:
```
16
Lattice="-9.228 2.523 0.611 -1.872 -4.827 -8.344 4.187 -4.654 7.266" Properties=species:S:1:pos:R:3 pbc="T T T"
Ba 0.462 -7.409 1.213
Ba -1.564 -5.164 -2.298
Ba -0.729 -3.060 1.628
Ba -4.000 -6.189 1.508
Ba -2.913 -0.769 -1.976
Ba -6.184 -3.898 -2.096
Ba -5.348 -1.794 1.830
Ba -7.374 0.451 -1.680
Ge -5.550 -1.152 -3.867
Ge -3.456 -3.479 -0.234
Ge 1.158 -4.741 -0.539
Br -4.614 1.262 0.305
Br -2.520 -1.065 3.938
Br 0.000 0.000 0.000
Br 2.094 -2.327 3.633
Cl -0.936 -2.414 -4.172
```


No. 3
Density functional theory data (PBE-GGA) for NpCuAu11 after structural relaxation.

DFT total energy in eV per atom: -4.122
Spin magnetization in μB/atom: 0.33
Energy of formation from the pure elements in eV per atom: -0.038
ρ in g cm⁻³: 16.4
Space-group type: C2/m, No. 12
Density of states at the Fermi level in states/eV/f.u.: 10.67
Calculated volume in Å³ per cell: 250.3

The structure in extended XYZ format:
```
13
Lattice="-3.619 -3.279 2.617 1.451 -6.976 -0.924 2.126 -1.556 6.857" Properties=species:S:1:pos:R:3 pbc="T T T"
Np 0.000 0.000 0.000
Cu -1.084 -5.127 0.846
Au -0.323 -2.816 2.012
Au 0.282 -8.995 6.537
Au -0.202 -7.404 1.996
Au 0.160 -4.407 6.554
Au 1.064 -6.711 4.886
Au -1.106 -5.099 3.663
Au -1.624 -6.711 6.793
Au 1.582 -5.099 1.756
Au 0.726 -3.488 -0.462
Au -0.746 -2.417 4.737
Au 1.063 -0.778 3.428
```


No. 4
Density functional theory data (PBE-GGA) for Tm8In2Cu after structural relaxation.

DFT total energy in eV per atom: -4.300
Spin magnetization in μB/atom: 0.00
Energy of formation from the pure elements in eV per atom: -0.177
ρ in g cm⁻³: 9.1
Space-group type: C2/m, No. 12
Density of states at the Fermi level in states/eV/f.u.: 9.95
Calculated volume in Å³ per cell: 298.8

The structure in extended XYZ format:
```
11
Lattice="5.080 0.000 0.000 0.000 6.629 0.312 -2.540 -2.431 8.759" Properties=species:S:1:pos:R:3 pbc="T T T"
Tm 0.000 1.629 7.317
Tm 2.540 5.727 2.884
Tm 2.540 3.231 5.382
Tm 2.540 -0.840 8.543
Tm 0.000 0.967 3.688
Tm 0.000 -1.529 6.187
Tm 2.540 2.569 1.754
Tm 0.000 5.038 0.528
In 2.540 0.160 5.543
In 0.000 4.038 3.528
Cu 2.540 0.000 0.000
```


No. 5
Density functional theory data (PBE-GGA) for LaSc2Cu2 after structural relaxation.

DFT total energy in eV per atom: -5.227
Spin magnetization in μB/atom: 0.15
Energy of formation from the pure elements in eV per atom: -0.071
ρ in g cm⁻³: 5.8
Space-group type: P4/mbm, No. 127
Relative energy among the computed polymorphs in meV per atom: 36
Density of states at the Fermi level in states/eV/f.u.: 4.16
Calculated volume in Å³ per cell: 204.2

The structure in extended XYZ format:
```
10
Lattice="-3.335 -6.635 -3.235 6.591 -4.276 1.975 -1.278 -0.699 2.751" Properties=species:S:1:pos:R:3 pbc="T T T"
Sc 4.474 -6.090 0.531
Sc 1.328 -8.448 -1.530
Sc -1.219 -4.822 -1.791
Sc 1.927 -2.463 0.270
Cu 3.155 -4.158 2.170
Cu 2.764 -8.304 0.935
Cu -1.177 -7.452 -0.679
Cu -0.787 -3.306 0.556
La 0.000 0.000 0.000
La 1.628 -5.456 -0.630
```


No. 6
Density functional theory data (PBE-GGA) for CsHfSbI2 after structural relaxation.

DFT total energy in eV per atom: -4.197
Spin magnetization in μB/atom: 0.00
ρ in g cm⁻³: 5.8
Space-group type: P4/mmm, No. 123
Relative energy among the computed polymorphs in meV per atom: 0
Density of states at the Fermi level in states/eV/f.u.: 2.00
Calculated volume in Å³ per cell: 198.0
Energy relative to the elements, uncorrected in eV per formula unit: -2.957

The structure in extended XYZ format:
```
5
Lattice="-3.530 4.354 -2.041 -4.225 -1.599 3.896 2.143 3.499 3.760" Properties=species:S:1:pos:R:3 pbc="T T T"
Cs -2.806 3.127 2.808
I -2.112 -0.800 1.948
I -1.765 2.177 -1.020
Hf 0.000 0.000 0.000
Sb 1.071 1.750 1.880
```


No. 7
Density functional theory data (PBE-GGA) for MgCrInPt2 after structural relaxation.

DFT total energy in eV per atom: -4.693
Spin magnetization in μB/atom: 0.00
Energy of formation from the pure elements in eV per atom: 0.515
ρ in g cm⁻³: 9.0
Space-group type: P4/mmm, No. 123
Density of states at the Fermi level in states/eV/f.u.: 4.71
Calculated volume in Å³ per cell: 106.9

The structure in extended XYZ format:
```
5
Lattice="4.676 0.000 0.000 0.000 4.886 0.000 0.000 0.000 4.676" Properties=species:S:1:pos:R:3 pbc="T T T"
Cr 0.000 0.000 0.000
Mg 2.338 2.443 2.338
Pt 0.000 0.000 2.338
Pt 2.338 0.000 0.000
In 0.000 2.443 0.000
```


No. 8
Density functional theory data (PBE-GGA) for ZnTc3Pb after structural relaxation.

DFT total energy in eV per atom: -5.740
Spin magnetization in μB/atom: 0.80
Energy of formation from the pure elements in eV per atom: 1.476
ρ in g cm⁻³: 9.6
Space-group type: Pm-3m, No. 221
Relative energy among the computed polymorphs in meV per atom: 0
Density of states at the Fermi level in states/eV/f.u.: 5.26
Calculated volume in Å³ per cell: 97.5

The structure in extended XYZ format:
```
5
Lattice="4.603 0.000 0.000 0.000 4.603 0.000 0.000 0.000 4.603" Properties=species:S:1:pos:R:3 pbc="T T T"
Pb 2.301 2.301 2.301
Zn 0.000 0.000 0.000
Tc 0.000 2.301 0.000
Tc 0.000 0.000 2.301
Tc 2.301 0.000 0.000
```


No. 9
Density functional theory data (PBE-GGA) for Hf3TeIr after structural relaxation.

DFT total energy in eV per atom: -8.413
Spin magnetization in μB/atom: 0.00
ρ in g cm⁻³: 11.0
Space-group type: Pm-3m, No. 221
Relative energy among the computed polymorphs in meV per atom: 0
Density of states at the Fermi level in states/eV/f.u.: 2.50
Calculated volume in Å³ per cell: 128.9
Energy relative to the elements, uncorrected in eV per formula unit: -0.201

The structure in extended XYZ format:
```
5
Lattice="5.052 0.000 0.000 0.000 5.052 0.000 0.000 0.000 5.052" Properties=species:S:1:pos:R:3 pbc="T T T"
Te 2.526 2.526 2.526
Ir 0.000 0.000 0.000
Hf 0.000 2.526 0.000
Hf 0.000 0.000 2.526
Hf 2.526 0.000 0.000
```


No. 10
Density functional theory data (PBE-GGA) for CsK2Rb5Na after structural relaxation.

DFT total energy in eV per atom: -0.996
Spin magnetization in μB/atom: 0.00
Energy of formation from the pure elements in eV per atom: 0.027
ρ in g cm⁻³: 1.5
Space-group type: Cmc2_1, No. 36
Density of states at the Fermi level in states/eV/f.u.: 6.75
Calculated volume in Å³ per cell: 1481.3

The structure in extended XYZ format:
```
18
Lattice="4.879 0.000 0.000 -2.440 14.091 0.000 0.000 0.000 21.545" Properties=species:S:1:pos:R:3 pbc="T T T"
Cs 2.440 1.231 19.090
Cs 0.000 12.860 8.318
K 2.440 10.654 18.380
K 0.000 3.535 15.444
K 0.000 3.438 7.608
K 2.440 10.556 4.671
Rb 0.000 8.523 0.757
Rb 2.440 5.944 19.002
Rb 0.000 12.849 14.743
Rb 0.000 8.219 14.852
Rb 0.000 1.273 11.628
Rb 2.440 5.568 11.529
Rb 0.000 8.147 8.230
Rb 2.440 1.242 3.970
Rb 2.440 5.872 4.080
Rb 2.440 12.818 0.856
Na 2.440 10.399 11.580
Na 0.000 3.692 0.808
```


No. 11
Density functional theory data (PBE-GGA) for Pu3Mg after structural relaxation.

DFT total energy in eV per atom: -10.805
Spin magnetization in μB/atom: 1.30
Energy of formation from the pure elements in eV per atom: 0.343
ρ in g cm⁻³: 14.4
Space-group type: I4/mmm, No. 139
Relative energy among the computed polymorphs in meV per atom: 92
Density of states at the Fermi level in states/eV/f.u.: 19.36
Calculated volume in Å³ per cell: 87.2

The structure in extended XYZ format:
```
4
Lattice="-2.745 1.676 -3.803 -3.299 -3.650 0.772 1.238 3.065 3.719" Properties=species:S:1:pos:R:3 pbc="T T T"
Mg 0.000 0.000 0.000
Pu -2.264 1.877 -0.800
Pu -2.542 -0.786 1.488
Pu -3.022 -0.987 -1.515
```


No. 12
Density functional theory data (PBE-GGA) for LiPr2Th after structural relaxation.

DFT total energy in eV per atom: -4.579
Spin magnetization in μB/atom: 0.00
Energy of formation from the pure elements in eV per atom: 0.144
ρ in g cm⁻³: 6.8
Space-group type: P4/mmm, No. 123
Relative energy among the computed polymorphs in meV per atom: 109
Density of states at the Fermi level in states/eV/f.u.: 5.16
Calculated volume in Å³ per cell: 127.1

The structure in extended XYZ format:
```
4
Lattice="3.639 0.000 0.000 0.000 5.910 0.000 0.000 0.000 5.910" Properties=species:S:1:pos:R:3 pbc="T T T"
Pr 0.000 0.000 2.955
Pr 0.000 2.955 0.000
Th 1.820 0.000 0.000
Li 1.820 2.955 2.955
```


No. 13
Density functional theory data (PBE-GGA) for KNaGa after structural relaxation.

DFT total energy in eV per atom: -1.849
Spin magnetization in μB/atom: 0.00
Energy of formation from the pure elements in eV per atom: -0.034
ρ in g cm⁻³: 1.8
Space-group type: P-1, No. 2
Relative energy among the computed polymorphs in meV per atom: 2
Density of states at the Fermi level in states/eV/f.u.: 1.88
Calculated volume in Å³ per cell: 240.1

The structure in extended XYZ format:
```
6
Lattice="-1.531 -4.237 0.207 7.300 -2.811 -4.328 3.606 -1.070 4.722" Properties=species:S:1:pos:R:3 pbc="T T T"
K 3.173 -5.034 0.121
K 7.792 -4.240 0.646
Na 6.461 -6.327 -2.868
Na 4.501 -2.945 3.627
Ga 1.606 -4.320 3.164
Ga 2.051 -2.141 1.925
```


No. 14
Density functional theory data (PBE-GGA) for SrIn2W after structural relaxation.

DFT total energy in eV per atom: -4.447
Spin magnetization in μB/atom: 0.55
Energy of formation from the pure elements in eV per atom: 0.581
ρ in g cm⁻³: 8.6
Space-group type: I4/mmm, No. 139
Relative energy among the computed polymorphs in meV per atom: 218
Density of states at the Fermi level in states/eV/f.u.: 3.09
Calculated volume in Å³ per cell: 96.3

The structure in extended XYZ format:
```
4
Lattice="5.357 -0.070 -0.007 1.070 5.250 0.007 -3.207 -2.598 3.416" Properties=species:S:1:pos:R:3 pbc="T T T"
In 0.001 0.001 0.000
In 3.212 2.589 0.000
Sr 2.682 -0.039 1.705
W 0.538 2.621 1.712
```


No. 15
Density functional theory data (PBE-GGA) for Li2Ge2Ir after structural relaxation.

DFT total energy in eV per atom: -4.755
Spin magnetization in μB/atom: 0.00
Energy of formation from the pure elements in eV per atom: -0.370
ρ in g cm⁻³: 8.2
Space-group type: C2/c, No. 15
Relative energy among the computed polymorphs in meV per atom: 0
Density of states at the Fermi level in states/eV/f.u.: 1.88
Calculated volume in Å³ per cell: 143.0

The structure in extended XYZ format:
```
10
Lattice="-3.199 -3.722 -0.806 4.615 -0.180 -2.141 -0.675 -1.088 7.705" Properties=species:S:1:pos:R:3 pbc="T T T"
Li 1.192 -3.088 -1.940
Li -2.503 -4.140 2.243
Li -0.450 -1.903 6.698
Li 3.245 -0.850 2.515
Ge -0.442 -2.902 3.671
Ge 1.650 -1.696 5.143
Ge 1.183 -2.088 1.088
Ge -0.909 -3.294 -0.385
Ir -2.514 -3.152 5.273
Ir -1.360 -1.658 1.626
```


No. 16
Density functional theory data (PBE-GGA) for Ti2Hg2Pb after structural relaxation.

DFT total energy in eV per atom: -3.749
Spin magnetization in μB/atom: 0.00
Energy of formation from the pure elements in eV per atom: 0.272
ρ in g cm⁻³: 10.2
Space-group type: I4/mmm, No. 139
Relative energy among the computed polymorphs in meV per atom: 134
Density of states at the Fermi level in states/eV/f.u.: 5.09
Calculated volume in Å³ per cell: 115.0

The structure in extended XYZ format:
```
5
Lattice="-1.923 3.269 -0.844 -0.897 0.441 3.755 4.974 5.881 2.508" Properties=species:S:1:pos:R:3 pbc="T T T"
Pb 0.000 0.000 0.000
Hg -0.031 2.725 1.683
Hg 2.185 6.867 3.736
Ti 0.820 5.503 1.560
Ti 1.333 4.089 3.859
```